Record 1
DFT (PBE) results for a relaxed TbEu3 crystal.

Summary:
excess energy over the best structure of this formula in the dataset	0.000	eV per atom

Cell: 3.7817 6.1487 6.6238 Å, 90.00 90.00 90.00°
Each line ends with the local moment (μB).
Fractional positions:
Eu 0.5000 0.0000 0.0831  6.96
Eu 0.5000 0.5000 0.7461  6.95
Eu 0.0000 0.5000 0.2566  6.99
Tb 0.0000 0.0000 0.5809  0.19

---

Record 2
DFT (PBE) results for a relaxed TbEu3 crystal.

Summary:
excess energy over the best structure of this formula in the dataset	0.038	eV per atom

Cell: 6.0169 6.0169 6.0169 Å, 60.00 60.00 60.00°
Each line ends with the local moment (μB).
Fractional positions:
Eu 0.7500 0.7500 0.7500  6.84
Eu 0.2500 0.2500 0.2500  6.84
Eu 0.0000 0.0000 0.0000  -6.88
Tb 0.5000 0.5000 0.5000  0.06

---

Record 3
DFT (PBE) results for a relaxed Tb2Eu crystal.

Summary:
excess energy over the best structure of this formula in the dataset	0.172	eV per atom

Cell: 6.8186 6.8186 6.8186 Å, 60.00 60.00 60.00°
Each line ends with the local moment (μB).
Fractional positions:
Tb 0.1250 0.6250 0.6250  0.07
Tb 0.6250 0.6250 0.6250  0.07
Tb 0.6250 0.1250 0.6250  0.07
Tb 0.6250 0.6250 0.1250  0.07
Eu 0.2500 0.2500 0.2500  6.87
Eu 0.0000 0.0000 0.0000  6.87

---

Record 4
DFT (PBE) results for a relaxed TbEu3 crystal.

Summary:
excess energy over the best structure of this formula in the dataset	0.009	eV per atom

Cell: 7.6215 7.6215 6.1377 Å, 90.00 90.00 120.00°
Each line ends with the local moment (μB).
Fractional positions:
Eu 0.1695 0.8305 0.2500  6.95
Eu 0.3391 0.1695 0.7500  6.95
Eu 0.6609 0.8305 0.2500  6.95
Eu 0.8305 0.1695 0.7500  6.95
Eu 0.8305 0.6609 0.7500  6.95
Eu 0.1695 0.3391 0.2500  6.95
Tb 0.3333 0.6667 0.7500  0.25
Tb 0.6667 0.3333 0.2500  0.25

---

Record 5
DFT (PBE) results for a relaxed Tb3EuTc crystal.

Cell: 5.4601 5.4601 5.4601 Å, 90.00 90.00 90.00°
Each line ends with the local moment (μB).
Fractional positions:
Tb 0.0000 0.0000 0.5000  0.00
Tb 0.0000 0.5000 0.0000  0.00
Tb 0.5000 0.0000 0.0000  0.00
Eu 0.5000 0.5000 0.5000  6.86
Tc 0.0000 0.0000 0.0000  -0.09

---

Record 6
DFT (PBE) results for a relaxed Tb2EuTh crystal.

Summary:
excess energy over the best structure of this formula in the dataset	0.164	eV per atom

Cell: 5.7572 5.7572 5.7572 Å, 60.00 60.00 60.00°
Each line ends with the local moment (μB).
Fractional positions:
Th 0.0000 0.0000 0.0000  -0.13
Tb 0.7500 0.7500 0.7500  -0.03
Tb 0.2500 0.2500 0.2500  -0.03
Eu 0.5000 0.5000 0.5000  6.84

---

Record 7
DFT (PBE) results for a relaxed Tb2EuTh crystal.

Summary:
excess energy over the best structure of this formula in the dataset	0.084	eV per atom

Cell: 5.0301 5.1341 5.1341 Å, 90.00 90.00 90.00°
Each line ends with the local moment (μB).
Fractional positions:
Tb 0.0000 0.0000 0.5000  0.01
Tb 0.0000 0.5000 0.0000  0.01
Eu 0.5000 0.0000 0.0000  6.83
Th 0.5000 0.5000 0.5000  0.01

---

Record 8
DFT (PBE) results for a relaxed Tb2EuTh crystal.

Summary:
excess energy over the best structure of this formula in the dataset	0.000	eV per atom

Cell: 3.6362 3.6362 10.3443 Å, 90.00 90.00 90.00°
Each line ends with the local moment (μB).
Fractional positions:
Tb 0.0000 0.0000 0.7723  0.10
Tb 0.0000 0.0000 0.2277  0.10
Th 0.5000 0.5000 0.0000  0.00
Eu 0.5000 0.5000 0.5000  6.97

---

Record 9
DFT (PBE) results for a relaxed Tb2EuTh crystal.

Summary:
excess energy over the best structure of this formula in the dataset	0.001	eV per atom

Cell: 3.6289 3.6289 12.0177 Å, 81.32 81.32 60.00°
Each line ends with the local moment (μB).
Fractional positions:
Tb 0.7450 0.7450 0.7650  -0.03
Tb 0.2550 0.2550 0.2350  -0.03
Eu 0.5000 0.5000 0.5000  -7.00
Th 0.0000 0.0000 0.0000  0.01

---

Record 10
DFT (PBE) results for a relaxed Tb2EuTl crystal.

Summary:
excess energy over the best structure of this formula in the dataset	0.000	eV per atom

Cell: 4.8274 4.9883 4.9883 Å, 90.00 90.00 90.00°
Each line ends with the local moment (μB).
Fractional positions:
Eu 0.5000 0.5000 0.5000  6.89
Tb 0.0000 0.0000 0.5000  0.18
Tb 0.0000 0.5000 0.0000  0.18
Tl 0.5000 0.0000 0.0000  -0.02

---

Record 11
DFT (PBE) results for a relaxed Tb2EuTl crystal.

Summary:
excess energy over the best structure of this formula in the dataset	0.037	eV per atom

Cell: 3.7095 3.7095 9.3117 Å, 90.00 90.00 90.00°
Each line ends with the local moment (μB).
Fractional positions:
Tb 0.0000 0.0000 0.7865  0.14
Tb 0.0000 0.0000 0.2135  0.14
Eu 0.5000 0.5000 0.5000  6.93
Tl 0.5000 0.5000 0.0000  -0.01

---

Record 12
DFT (PBE) results for a relaxed Tb2EuTl crystal.

Summary:
excess energy over the best structure of this formula in the dataset	0.112	eV per atom

Cell: 5.5365 5.5365 5.5365 Å, 60.00 60.00 60.00°
Each line ends with the local moment (μB).
Fractional positions:
Tl 0.5000 0.5000 0.5000  -0.02
Tb 0.2500 0.2500 0.2500  0.16
Tb 0.7500 0.7500 0.7500  0.16
Eu 0.0000 0.0000 0.0000  6.92

---

Number 1: formation enthalpy at 0 K 0.08 eV per atom. Number 2: formation enthalpy at 0 K 0.12 eV per atom. Number 3: formation enthalpy at 0 K 0.22 eV per atom. Number 4: formation enthalpy at 0 K 0.09 eV per atom. Number 5: formation enthalpy at 0 K 0.06 eV per atom. Number 6: formation enthalpy at 0 K 0.21 eV per atom. Number 7: formation enthalpy at 0 K 0.13 eV per atom. Number 8: formation enthalpy at 0 K 0.04 eV per atom. Number 9: formation enthalpy at 0 K 0.04 eV per atom. Number 10: formation enthalpy at 0 K -0.15 eV per atom. Number 11: formation enthalpy at 0 K -0.11 eV per atom. Number 12: formation enthalpy at 0 K -0.03 eV per atom.